(1)
A relaxed structure of Rb4SbTe4, computed with GGA-PBE.

a = 7.346 Å, b = 8.669 Å, c = 8.669 Å
α = 79.66°, β = 64.93°, γ = 64.93°
Atoms (fractional coordinates):
Te: 0.251 0.662 0.835
Te: 0.087 0.165 0.662
Te: 0.913 0.835 0.338
Te: 0.749 0.338 0.165
Rb: 0.198 0.388 0.216
Rb: 0.414 0.784 0.388
Rb: 0.802 0.612 0.784
Rb: 0.586 0.216 0.612
Sb: 0.000 0.000 0.000

As for the symmetry: No. 87. The calculation puts the density of states at the Fermi level at 11.9 states/eV per cell.

***

(2)
A relaxed structure of Rb4SbTe4, computed with GGA-PBE.

a = 9.556 Å, b = 9.556 Å, c = 9.556 Å
α = 79.26°, β = 126.38°, γ = 126.38°
Atoms (fractional coordinates):
Te: 0.000 0.692 0.075
Te: 0.618 0.925 0.925
Te: 0.000 0.075 0.692
Te: 0.382 0.308 0.308
Rb: 0.000 0.301 0.301
Rb: 0.000 0.699 0.699
Rb: 0.500 0.000 0.500
Rb: 0.500 0.500 0.000
Sb: 0.000 0.000 0.000

As for the symmetry: No. 121. The calculation puts the density of states at the Fermi level at 6.1 states/eV per cell.

***

Most stable structure, least stable structure: (2), (1).

***

(1)
A relaxed structure of Rb3Sb2Te4, computed with GGA-PBE.

a = 10.119 Å, b = 10.022 Å, c = 10.050 Å
α = 119.91°, β = 93.29°, γ = 90.00°
Atoms (fractional coordinates):
Rb: 0.134 0.763 0.734
Rb: 0.634 0.972 0.734
Rb: 0.750 0.523 0.000
Rb: 0.866 0.237 0.266
Rb: 0.250 0.477 0.000
Rb: 0.366 0.028 0.266
Te: 0.487 0.722 0.884
Te: 0.657 0.247 0.581
Te: 0.987 0.162 0.884
Te: 0.513 0.278 0.116
Te: 0.157 0.334 0.581
Te: 0.013 0.838 0.116
Te: 0.843 0.666 0.419
Te: 0.343 0.753 0.419
Sb: 0.952 0.156 0.607
Sb: 0.048 0.844 0.393
Sb: 0.548 0.549 0.393
Sb: 0.452 0.451 0.607

As for the symmetry: No. 15. The calculation puts the density of states at the Fermi level at 6.1 states/eV per cell.

***

(2)
A relaxed structure of Rb3Sb2Te4, computed with GGA-PBE.

a = 10.881 Å, b = 8.634 Å, c = 8.634 Å
α = 87.09°, β = 80.66°, γ = 80.66°
Atoms (fractional coordinates):
Te: 0.970 0.271 0.955
Te: 0.386 0.558 0.701
Te: 0.030 0.729 0.045
Te: 0.114 0.299 0.442
Te: 0.530 0.045 0.729
Te: 0.614 0.442 0.299
Te: 0.886 0.701 0.558
Te: 0.470 0.955 0.271
Sb: 0.589 0.731 0.477
Sb: 0.089 0.477 0.731
Sb: 0.411 0.269 0.523
Sb: 0.911 0.523 0.269
Rb: 0.810 0.041 0.275
Rb: 0.750 0.320 0.680
Rb: 0.310 0.275 0.041
Rb: 0.690 0.725 0.959
Rb: 0.190 0.959 0.725
Rb: 0.250 0.680 0.320

As for the symmetry: No. 15. The calculation puts the density of states at the Fermi level at 1.4 states/eV per cell.

***

Most stable structure, least stable structure: (1), (2).

***

(1)
A relaxed structure of RbSb2Te3, computed with GGA-PBE.

a = 7.381 Å, b = 8.396 Å, c = 8.396 Å
α = 86.57°, β = 90.00°, γ = 90.00°
Atoms (fractional coordinates):
Te: 0.750 0.160 0.458
Te: 0.750 0.083 0.917
Te: 0.250 0.917 0.083
Te: 0.750 0.542 0.840
Te: 0.250 0.458 0.160
Te: 0.250 0.840 0.542
Sb: 0.500 0.812 0.812
Sb: 0.000 0.812 0.812
Sb: 0.500 0.188 0.188
Sb: 0.000 0.188 0.188
Rb: 0.250 0.321 0.679
Rb: 0.750 0.679 0.321

As for the symmetry: No. 63. The calculation puts the density of states at the Fermi level at 2.0 states/eV per cell.

***

(2)
A relaxed structure of RbSb2Te3, computed with GGA-PBE.

a = 7.189 Å, b = 9.890 Å, c = 10.078 Å
α = 56.62°, β = 78.01°, γ = 65.52°
Atoms (fractional coordinates):
Te: 0.801 0.579 0.761
Te: 0.254 0.943 0.761
Te: 0.900 0.798 0.282
Te: 0.183 0.339 0.270
Te: 0.321 0.812 0.406
Te: 0.649 0.375 0.548
Sb: 0.980 0.125 0.322
Sb: 0.004 0.448 0.529
Sb: 0.878 0.014 0.652
Sb: 0.565 0.913 0.505
Rb: 0.334 0.485 0.851
Rb: 0.637 0.683 0.100

As for the symmetry: No. 1.

***

Most stable structure, least stable structure: (2), (1).

***

(1)
A relaxed structure of RbTlSb2Te, computed with GGA-PBE.

a = 6.150 Å, b = 6.150 Å, c = 6.309 Å
α = 90.00°, β = 90.00°, γ = 90.00°
Each line ends with the local moment (μB).
Atoms (fractional coordinates):
Rb: 0.000 0.000 0.000  0.01
Sb: 0.500 0.000 0.000  0.06
Sb: 0.000 0.500 0.000  0.06
Te: 0.000 0.000 0.500  0.00
Tl: 0.500 0.500 0.500  0.00

As for the symmetry: No. 123. The calculation puts the density of states at the Fermi level at 7.2 states/eV per cell.

***

(2)
A relaxed structure of RbTlSb2Te, computed with GGA-PBE.

a = 5.823 Å, b = 5.823 Å, c = 6.120 Å
α = 90.00°, β = 90.00°, γ = 90.00°
Each line ends with the local moment (μB).
Atoms (fractional coordinates):
Tl: 0.000 0.000 0.000  0.00
Sb: 0.000 0.500 0.000  0.19
Sb: 0.500 0.000 0.000  0.19
Te: 0.000 0.000 0.500  0.10
Rb: 0.500 0.500 0.500  0.01

As for the symmetry: No. 123. The calculation puts the density of states at the Fermi level at 5.0 states/eV per cell.

***

Most stable structure, least stable structure: (2), (1).